(1)
SbPd14Pb | PBE | relaxed

Cell and atoms, written as POSCAR:
```
SbPd14Pb
1.0
5.803 -0.012 0.000
0.012 5.803 0.000
0.000 0.000 7.671
Sb Pd Pb
1 14 1
Direct
0.875 0.875 0.500
0.875 0.875 0.000
0.375 0.375 0.000
0.875 0.375 0.500
0.875 0.375 0.000
0.375 0.875 0.500
0.375 0.875 0.000
0.628 0.122 0.248
0.628 0.122 0.752
0.122 0.628 0.248
0.122 0.628 0.752
0.628 0.628 0.248
0.628 0.628 0.752
0.122 0.122 0.248
0.122 0.122 0.752
0.375 0.375 0.500
```

The size of the total moment comes out at 0.000 μB per atom. Its space group is P4/mmm (123). As for the density: 11.69 Mg/m³. For the raw total energy, the calculation gives -5.20 eV per atom.

---

(2)
SbPd5Pb | PBE | relaxed

Cell and atoms, written as POSCAR:
```
SbPd5Pb
1.0
-0.158 5.202 0.772
-5.000 -0.316 -1.606
-4.996 0.850 8.198
Sb Pd Pb
2 10 2
Direct
0.000 0.000 0.000
0.000 0.000 0.500
0.443 0.772 0.461
0.021 0.387 0.649
0.772 0.443 0.961
0.860 0.140 0.250
0.613 0.979 0.851
0.387 0.021 0.149
0.140 0.860 0.750
0.228 0.557 0.039
0.979 0.613 0.351
0.557 0.228 0.539
0.506 0.494 0.250
0.494 0.506 0.750
```

The size of the total moment comes out at 0.000 μB per atom. Its space group is C2/c (15). As for the density: 11.41 Mg/m³. For the raw total energy, the calculation gives -5.12 eV per atom.

---

- The lowest density belongs to which entry?
  SbPd5Pb

---

- What is the density in the first record?
  11.69 Mg/m³